Density functional theory data (GGA-PBE) for a relaxed structure of KSbSe.

abc: 5.266 5.266 5.266
angles: 60.00 60.00 60.00
Positions (direct):
K 0.000 0.000 0.000
Sb 0.500 0.500 0.500
Se 0.750 0.750 0.750

Values from the calculation:
Its magnetic moment is 0.00 μB/f.u. The raw formation energy is -0.137 eV/atom. Its symmetry is F-43m. The calculation puts the relative energy among the computed polymorphs at 0.5512 eV/atom.

---

Density functional theory data (GGA-PBE) for a relaxed structure of Li2HgP.

abc: 4.168 4.168 9.059
angles: 76.70 76.70 90.00
Positions (direct):
P 0.500 0.500 0.000
P 0.250 0.750 0.500
Hg 0.000 0.000 0.000
Hg 0.750 0.250 0.500
Li 0.566 0.125 0.250
Li 0.184 0.625 0.250
Li 0.375 0.434 0.750
Li 0.875 0.816 0.750

Values from the calculation:
For the total DFT energy (no corrections), the calculation gives -0.1846 Ry/atom. Its magnetic moment is 0.00 μB/f.u. Its symmetry is I-42d.

---

Density functional theory data (GGA-PBE) for a relaxed structure of Na4Cd5.

abc: 5.142 5.139 10.916
angles: 61.38 76.38 59.98
Positions (direct):
Na 0.668 0.881 0.784
Na 0.332 0.119 0.216
Na 0.001 0.332 0.666
Na 0.999 0.668 0.334
Cd 0.335 0.777 0.554
Cd 0.665 0.223 0.446
Cd 0.334 0.444 0.887
Cd 0.666 0.556 0.113
Cd 0.000 0.000 0.000

Values from the calculation:
For the total DFT energy (no corrections), the calculation gives -0.0873 Ry/atom. Its magnetic moment is 0.00 μB/f.u. Its symmetry is C2/m.

---

What is the magnetic moment in the first record? 0.00 μB/f.u.

---

Number 1 is which compound? KSbSe

---

What did the first record say?
Density functional theory data (GGA-PBE) for a relaxed structure of KSbSe.

abc: 5.266 5.266 5.266
angles: 60.00 60.00 60.00
Positions (direct):
K 0.000 0.000 0.000
Sb 0.500 0.500 0.500
Se 0.750 0.750 0.750

Values from the calculation:
Its magnetic moment is 0.00 μB/f.u. The raw formation energy is -0.137 eV/atom. Its symmetry is F-43m. The calculation puts the relative energy among the computed polymorphs at 0.5512 eV/atom.

---

What did the third record say?
Density functional theory data (GGA-PBE) for a relaxed structure of Na4Cd5.

abc: 5.142 5.139 10.916
angles: 61.38 76.38 59.98
Positions (direct):
Na 0.668 0.881 0.784
Na 0.332 0.119 0.216
Na 0.001 0.332 0.666
Na 0.999 0.668 0.334
Cd 0.335 0.777 0.554
Cd 0.665 0.223 0.446
Cd 0.334 0.444 0.887
Cd 0.666 0.556 0.113
Cd 0.000 0.000 0.000

Values from the calculation:
For the total DFT energy (no corrections), the calculation gives -0.0873 Ry/atom. Its magnetic moment is 0.00 μB/f.u. Its symmetry is C2/m.